[1]
Er3Pb2Se after structural relaxation, computed with PBE.

abc: 7.843 7.843 7.843
angles: 150.94 133.78 55.53
Sites, in units of the cell vectors:
Er1 0.000 0.000 0.000
Er2 0.348 0.348 0.000
Er3 0.652 0.652 0.000
Pb1 0.171 0.671 0.500
Pb2 0.829 0.329 0.500
Se1 0.500 0.000 0.500

Output
The value obtained for the calculated density is 9.828 g/cm3. For the formation energy without anion corrections, the calculation gives -0.84 eV/atom. The calculation puts the total DFT energy (no corrections) at -4.94 eV per atom.

=====

[2]
VCrTcPd after structural relaxation, computed with PBE.

abc: 4.314 4.314 4.314
angles: 60.00 60.00 60.00
Sites, in units of the cell vectors:
V1 0.000 0.000 0.000
Cr1 0.500 0.500 0.500
Tc1 0.250 0.250 0.250
Pd1 0.750 0.750 0.750

Output
The value obtained for the calculated density is 8.988 g/cm3. The calculation puts the total DFT energy (no corrections) at -8.55 eV per atom. Its formation energy is 0.020 eV per atom.

=====

[3]
BaGaN after structural relaxation, computed with PBE.

abc: 3.804 5.643 5.643
angles: 33.31 90.00 90.00
Sites, in units of the cell vectors:
Ba1 0.000 0.000 0.000
Ga1 0.500 0.753 0.753
N1 0.500 0.367 0.367

Output
The value obtained for the calculated density is 5.518 g/cm3. For the formation energy without anion corrections, the calculation gives -0.27 eV/atom. The calculation puts the total DFT energy (no corrections) at -4.69 eV per atom.

=====

Repeat the second record exactly.
VCrTcPd after structural relaxation, computed with PBE.

abc: 4.314 4.314 4.314
angles: 60.00 60.00 60.00
Sites, in units of the cell vectors:
V1 0.000 0.000 0.000
Cr1 0.500 0.500 0.500
Tc1 0.250 0.250 0.250
Pd1 0.750 0.750 0.750

Output
The value obtained for the calculated density is 8.988 g/cm3. The calculation puts the total DFT energy (no corrections) at -8.55 eV per atom. Its formation energy is 0.020 eV per atom.